This record from Alexandria describes crystalline Tb3Sm2In4 at its relaxed geometry. The functional is GGA-PBE.

Cell lengths 9.2169, 5.3267, 10.3775 Å; angles 90.00, 90.08, 90.00 degrees
With the nearest neighbours (Å) after each atom.
Space group C2/m (No. 12)
One atom of each set of equivalent atoms:
Tb (0.0000, 0.0000, 0.0000) (multiplicity 2)  8 In 3.24-3.62
Tb (0.1667, 0.5000, 0.4247) (multiplicity 4)  4 In 3.17-3.36, 3 Tb 3.45
Sm (0.1670, 0.5000, 0.7782) (multiplicity 4)  7 In 3.32-3.34, 1 Tb 3.67
In (0.9999, 0.0000, 0.3487) (multiplicity 4)  1 In 3.14, 3 Tb 3.17, 3 Sm 3.34
In (0.1664, 0.5000, 0.1005) (multiplicity 4)  4 Tb 3.24-3.36, 4 Sm 3.32-3.34

## Properties
energy relative to the elements = -0.41 eV/atom
energy above the lowest structure with this stoichiometry = 0 kJ/mol of formula units
size of the total moment = 0.000 μB/atom
crystal system = monoclinic